## SrCuTc3 (GGA-PBE)

Data for a relaxed structure of SrCuTc3.

Calculated values
Crystal system: cubic
Total magnetic moment (Bohr magnetons per cell): 2.8
DOS(E_F) (states/eV per cell): 9.11
Energy of formation from the pure elements (meV per atom): 1490.0
E_tot (eV/atom): -5.89
Symmetry: Pm-3m

Structure (POSCAR):
```
SrCuTc3
1.0
4.668 0.000 0.000
0.000 4.668 0.000
0.000 0.000 4.668
Sr Cu Tc
1 1 3
Direct
0.000 0.000 0.000 Sr
0.500 0.500 0.500 Cu
0.000 0.500 0.500 Tc
0.500 0.000 0.500 Tc
0.500 0.500 0.000 Tc
```

---

## Sr2CuTc (GGA-PBE)

Data for a relaxed structure of Sr2CuTc.

Calculated values
Crystal system: trigonal
Total magnetic moment (Bohr magnetons per cell): 0.7
DOS(E_F) (states/eV per cell): 3.25
Energy of formation from the pure elements (meV per atom): 848.9
E_tot (eV/atom): -3.61
Symmetry: R-3m

Structure (POSCAR):
```
Sr2CuTc
1.0
1.823 1.052 9.282
-1.823 1.052 9.282
0.000 -2.105 9.282
Sr Cu Tc
2 1 1
Direct
0.248 0.248 0.248 Sr
0.752 0.752 0.752 Sr
0.000 0.000 0.000 Cu
0.500 0.500 0.500 Tc
```

---

## SrCuTe3 (GGA-PBE)

Data for a relaxed structure of SrCuTe3.

Calculated values
Crystal system: cubic
Total magnetic moment (Bohr magnetons per cell): 0.0
DOS(E_F) (states/eV per cell): 4.22
E_tot (eV/atom): -3.47
Symmetry: Pm-3m
Raw formation energy (eV per atom): -0.433

Structure (POSCAR):
```
SrCuTe3
1.0
5.276 0.000 0.000
0.000 5.276 0.000
0.000 0.000 5.276
Sr Cu Te
1 1 3
Direct
0.000 0.000 0.000 Sr
0.500 0.500 0.500 Cu
0.000 0.500 0.500 Te
0.500 0.000 0.500 Te
0.500 0.500 0.000 Te
```

---

## Sr2Cu2Te (GGA-PBE)

Data for a relaxed structure of Sr2Cu2Te.

Calculated values
Crystal system: tetragonal
Total magnetic moment (Bohr magnetons per cell): 0.0
DOS(E_F) (states/eV per cell): 0.06
E_tot (eV/atom): -3.19
Symmetry: I4/mmm
Raw formation energy (eV per atom): -0.251

Structure (POSCAR):
```
Sr2Cu2Te
1.0
-2.760 2.760 4.940
2.760 -2.760 4.940
2.760 2.760 -4.940
Sr Cu Te
2 2 1
Direct
0.250 0.750 0.500 Sr
0.750 0.250 0.500 Sr
0.117 0.117 0.000 Cu
0.883 0.883 0.000 Cu
0.500 0.500 0.000 Te
```

---

| no. | energy above the most stable polymorph in this dataset (eV per formula unit) |
| --- | --- |
| 1 | 0.00 |
| 2 | 1.63 |
| 3 | 0.00 |
| 4 | 1.04 |